1.
DFT (PBE) results for Tb2Y2HoTh after structural relaxation.

Properties
Magnetic moment   0.00 Bohr magnetons per cell
E_tot   -0.2061 hartree per atom
Theoretical density   7.688 g/cm3
Density of states at the Fermi level   10.69 states/eV/f.u.
Energy of formation from the pure elements   0.090 eV/atom
Space group   Pmma, No. 51

abc: 7.0056 5.6262 9.7834
angles: 90.00 90.00 90.00
Last column: nearest neighbours and their distance in Å.
Atoms (fractional coordinates):
Tb  0.2500  0.0000  0.1590  3 Th 3.25-3.51, 2 Y 3.33
Tb  0.2500  0.5000  0.6740  2 Th 3.19, 3 Y 3.25-3.51
Tb  0.7500  0.0000  0.8410  3 Th 3.25-3.51, 2 Y 3.33
Tb  0.7500  0.5000  0.3260  2 Th 3.19, 3 Y 3.25-3.51
Y  0.0000  0.0000  0.5000  6 Y 3.50-3.66, 2 Th 3.65, 6 Tb 3.73-3.77
Y  0.2500  0.5000  0.3415  5 Tb 3.25-3.51
Y  0.5000  0.0000  0.5000  6 Y 3.50-3.66, 2 Th 3.65, 6 Tb 3.73-3.77
Y  0.7500  0.5000  0.6585  5 Tb 3.25-3.51
Ho  0.0000  0.5000  0.0000  2 Ho 3.50, 6 Tb 3.64-3.66, 4 Th 3.72, 2 Y 3.77
Ho  0.5000  0.5000  0.0000  2 Ho 3.50, 6 Tb 3.64-3.66, 4 Th 3.72, 2 Y 3.77
Th  0.2500  0.0000  0.8269  5 Tb 3.19-3.51
Th  0.7500  0.0000  0.1731  5 Tb 3.19-3.51


2.
DFT (PBE) results for TbHo2Ti after structural relaxation.

Properties
ΔE to the lowest computed polymorph   32 meV per atom
Magnetic moment   0.00 Bohr magnetons per cell
E_tot   -0.1922 hartree per atom
Theoretical density   8.140 g/cm3
Density of states at the Fermi level   6.19 states/eV/f.u.
Energy of formation from the pure elements   0.190 eV/atom
Space group   R3m, No. 160

abc: 11.0456 11.0456 11.0456
angles: 17.76 17.76 17.76
Last column: nearest neighbours and their distance in Å.
Atoms (fractional coordinates):
Tb  0.0000  0.0000  0.0000  6 Tb 3.41, 6 Ho 3.56-3.57
Ho  0.2420  0.2420  0.2420  3 Ti 3.14, 6 Ho 3.41
Ho  0.4244  0.4244  0.4244  3 Ti 3.16, 6 Ho 3.41
Ti  0.8336  0.8336  0.8336  6 Ho 3.14-3.16, 6 Ti 3.41


3.
DFT (PBE) results for TbHo2Ti after structural relaxation.

Properties
ΔE to the lowest computed polymorph   259 meV per atom
Magnetic moment   1.89 Bohr magnetons per cell
E_tot   -0.1838 hartree per atom
Theoretical density   7.859 g/cm3
Density of states at the Fermi level   6.03 states/eV/f.u.
Energy of formation from the pure elements   0.418 eV/atom
Space group   R-3m, No. 166

abc: 11.8415 11.8415 11.8415
angles: 16.25 16.25 16.25
Last column: nearest neighbours and their distance in Å.
Atoms (fractional coordinates):
Tb  0.0000  0.0000  0.0000  6 Tb 3.35, 6 Ho 3.49
Ho  0.4163  0.4163  0.4163  1 Ti 2.93
Ho  0.5837  0.5837  0.5837  1 Ti 2.93
Ti  0.5000  0.5000  0.5000  2 Ho 2.93


4.
DFT (PBE) results for Tb2HoTi after structural relaxation.

Properties
ΔE to the lowest computed polymorph   255 meV per atom
Magnetic moment   1.81 Bohr magnetons per cell
E_tot   -0.1841 hartree per atom
Theoretical density   7.719 g/cm3
Density of states at the Fermi level   6.39 states/eV/f.u.
Energy of formation from the pure elements   0.423 eV/atom
Space group   R-3m, No. 166

abc: 11.8641 11.8641 11.8641
angles: 16.26 16.26 16.26
Last column: nearest neighbours and their distance in Å.
Atoms (fractional coordinates):
Tb  0.0840  0.0840  0.0840  1 Ti 2.95
Tb  0.9160  0.9160  0.9160  1 Ti 2.95
Ho  0.5000  0.5000  0.5000  6 Ho 3.36, 6 Tb 3.49
Ti  0.0000  0.0000  0.0000  2 Tb 2.95


5.
DFT (PBE) results for Tb2HoTi after structural relaxation.

Properties
ΔE to the lowest computed polymorph   0 meV per atom
Magnetic moment   0.00 Bohr magnetons per cell
E_tot   -0.1935 hartree per atom
Theoretical density   8.005 g/cm3
Density of states at the Fermi level   6.21 states/eV/f.u.
Energy of formation from the pure elements   0.168 eV/atom
Space group   P4/mmm, No. 123

abc: 3.4111 3.4111 9.4607
angles: 90.00 90.00 90.00
Last column: nearest neighbours and their distance in Å.
Atoms (fractional coordinates):
Tb  0.0000  0.0000  0.2212  4 Ti 3.19, 4 Tb 3.41, 4 Ho 3.57
Tb  0.0000  0.0000  0.7788  4 Ti 3.19, 4 Tb 3.41, 4 Ho 3.57
Ho  0.5000  0.5000  0.5000  4 Ho 3.41, 8 Tb 3.57
Ti  0.5000  0.5000  0.0000  8 Tb 3.19, 4 Ti 3.41


6.
DFT (PBE) results for TbHo2Ti after structural relaxation.

Properties
ΔE to the lowest computed polymorph   0 meV per atom
Magnetic moment   0.00 Bohr magnetons per cell
E_tot   -0.1934 hartree per atom
Theoretical density   8.154 g/cm3
Density of states at the Fermi level   6.29 states/eV/f.u.
Energy of formation from the pure elements   0.158 eV/atom
Space group   P4/mmm, No. 123

abc: 3.3811 3.3811 9.5596
angles: 90.00 90.00 90.00
Last column: nearest neighbours and their distance in Å.
Atoms (fractional coordinates):
Tb  0.0000  0.0000  0.0000  4 Tb 3.38, 8 Ho 3.60
Ho  0.5000  0.5000  0.2813  4 Ti 3.18, 4 Ho 3.38
Ho  0.5000  0.5000  0.7187  4 Ti 3.18, 4 Ho 3.38
Ti  0.0000  0.0000  0.5000  8 Ho 3.18, 4 Ti 3.38


7.
DFT (PBE) results for TbHo2Ti after structural relaxation.

Properties
ΔE to the lowest computed polymorph   42 meV per atom
Magnetic moment   0.02 Bohr magnetons per cell
E_tot   -0.1918 hartree per atom
Theoretical density   8.222 g/cm3
Density of states at the Fermi level   6.06 states/eV/f.u.
Energy of formation from the pure elements   0.200 eV/atom
Space group   P4/mmm, No. 123

abc: 4.7597 4.7597 4.7841
angles: 90.00 90.00 90.00
Last column: nearest neighbours and their distance in Å.
Atoms (fractional coordinates):
Tb  0.0000  0.0000  0.0000  4 Ti 3.37, 8 Ho 3.37
Ho  0.0000  0.5000  0.5000  4 Ho 3.37, 4 Tb 3.37, 4 Ti 3.37
Ho  0.5000  0.0000  0.5000  4 Ho 3.37, 4 Tb 3.37, 4 Ti 3.37
Ti  0.5000  0.5000  0.0000  4 Tb 3.37, 8 Ho 3.37


8.
DFT (PBE) results for TbHoTiTl after structural relaxation.

Properties
Magnetic moment   2.82 Bohr magnetons per cell
E_tot   -0.1788 hartree per atom
Theoretical density   9.220 g/cm3
Density of states at the Fermi level   4.60 states/eV/f.u.
Energy of formation from the pure elements   0.001 eV/atom
Space group   F-43m, No. 216

abc: 5.2745 5.2745 5.2745
angles: 60.00 60.00 60.00
Last column: nearest neighbours and their distance in Å.
Atoms (fractional coordinates):
Tb  0.0000  0.0000  0.0000  4 Tl 3.23, 4 Ti 3.23
Ho  0.5000  0.5000  0.5000  4 Tl 3.23, 4 Ti 3.23
Ti  0.2500  0.2500  0.2500  4 Ho 3.23, 4 Tb 3.23
Tl  0.7500  0.7500  0.7500  4 Tb 3.23, 4 Ho 3.23